BaFe2Ag after structural relaxation. Source: Alexandria, functional GGA-PBE.

Lattice parameters (Å, degrees): 5.5103 5.5103 5.5103 133.99 133.99 67.10
Last column: nearest neighbours and their distance in Å.
Sites, in units of the cell vectors:
Fe 0.0000 0.0000 0.0000  4 Fe 3.05, 4 Ba 3.15, 4 Ag 3.15
Fe 0.5000 0.5000 0.0000  4 Fe 3.05, 4 Ag 3.15, 4 Ba 3.15
Ba 0.7500 0.2500 0.5000  4 Ag 3.05, 8 Fe 3.15
Ag 0.2500 0.7500 0.5000  4 Ba 3.05, 8 Fe 3.15

space-group type: I4/mmm, No. 139
ΔE_f: 909.1 meV per atom